Record 1
## BaPb3Au2 (PBE)

Data for BaPb3Au2 after structural relaxation.

The energy above the most stable polymorph in this dataset is 0.00 eV per formula unit.

It has space group C2/m (No. 12), with a = 19.7967 Å, b = 4.7768 Å, c = 11.9647 Å, α = 90.00°, β = 106.91° and γ = 90.00°. The inequivalent atoms are Ba at (0.0000, 0.0000, 0.0000), Ba at (0.1583, 0.0000, 0.7022), Pb at (0.0000, 0.5000, 0.5000), Pb at (0.0368, 0.0000, 0.3366), Pb at (0.1223, 0.5000, 0.2040), Pb at (0.1771, 0.5000, 0.9683), Pb at (0.2092, 0.0000, 0.3816), Au at (0.0405, 0.5000, 0.7980), Au at (0.1440, 0.5000, 0.4767) and Au at (0.2003, 0.0000, 0.1260).

Record 2
## Ba3Pb2Au2 (PBE)

Data for Ba3Pb2Au2 after structural relaxation.

It has space group C2/m (No. 12), with a = 12.6198 Å, b = 4.9777 Å, c = 8.6538 Å, α = 90.00°, β = 109.31° and γ = 90.00°. The inequivalent atoms are Ba at (0.0000, 0.0000, 0.0000), Ba at (0.1803, 0.0000, 0.6600), Pb at (0.0350, 0.5000, 0.3441) and Au at (0.1900, 0.5000, 0.9323).

Record 3
## Ba2PbAu (PBE)

Data for Ba2PbAu after structural relaxation.

It has space group C2/m (No. 12), with a = 8.7025 Å, b = 4.3745 Å, c = 9.0666 Å, α = 90.00°, β = 104.14° and γ = 90.00°. The inequivalent atoms are Ba at (0.2426, 0.0000, 0.2328), Pb at (0.0000, 0.0000, 0.5000) and Au at (0.0000, 0.5000, 0.0000).

Record 4
## Ba2Pb12Au7 (PBE)

Data for Ba2Pb12Au7 after structural relaxation.

It has space group P-3 (No. 147), with a = 12.2004 Å, b = 12.2004 Å, c = 4.6811 Å, α = 90.00°, β = 90.00° and γ = 120.00°. The inequivalent atoms are Ba at (0.3333, 0.6667, 0.2489), Pb at (0.0566, 0.4340, 0.7548), Pb at (0.1124, 0.2593, 0.2506), Au at (0.0000, 0.0000, 0.5000) and Au at (0.1277, 0.7046, 0.7344).

Record 5
## BaPb3Au8 (PBE)

Data for BaPb3Au8 after structural relaxation.

It has space group P3m1 (No. 156), with a = 5.8334 Å, b = 5.8334 Å, c = 9.4275 Å, α = 90.00°, β = 90.00° and γ = 120.00°. The inequivalent atoms are Ba at (0.0000, 0.0000, 0.0000), Pb at (0.0000, 0.0000, 0.3996), Pb at (0.6667, 0.3333, 0.4708), Pb at (0.6667, 0.3333, 0.8420), Au at (0.1655, 0.3310, 0.6788), Au at (0.3333, 0.6667, 0.4264), Au at (0.3333, 0.6667, 0.9296) and Au at (0.5026, 0.0052, 0.1812).

Record 6
## BaPb2Au (PBE)

Data for BaPb2Au after structural relaxation.

It has space group Cm (No. 8), with a = 9.8143 Å, b = 4.7508 Å, c = 6.3012 Å, α = 90.00°, β = 114.25° and γ = 90.00°. The inequivalent atoms are Ba at (0.0000, 0.0000, 0.0000), Pb at (0.0600, 0.5000, 0.5887), Pb at (0.2910, 0.5000, 0.3392) and Au at (0.2499, 0.0000, 0.6154).

no.,DFT formation energy (meV per atom)
1,-346
2,-614
3,-477
4,-250
5,-207
6,-371